Na2MgCd3, relaxed, DFT PBE-GGA; SG = Pmma; energy above the lowest structure with this stoichiometry = 76 meV/atom
1.0
5.6915 0.0000 0.0000
0.0000 6.1034 0.0000
0.0000 0.0000 8.7459
Na Mg Cd
4 2 6
Cartesian
1.4229 0.0000 0.7377
1.4229 3.0517 3.1591
4.2686 0.0000 8.0082
4.2686 3.0517 5.5869
1.4229 0.0000 3.8564
4.2686 0.0000 4.8895
0.0000 3.0517 0.0000
1.4229 1.4966 6.4149
1.4229 4.6068 6.4149
2.8457 3.0517 0.0000
4.2686 1.4966 2.3310
4.2686 4.6068 2.3310

---

LaZr2Ag2, relaxed, DFT PBE-GGA; SG = I4/mmm; energy above the lowest structure with this stoichiometry = 0 meV/atom
1.0
-2.0797 2.0797 7.1846
2.0797 -2.0797 7.1846
2.0797 2.0797 -7.1846
La Zr Ag
1 2 2
Cartesian
0.0000 0.0000 0.0000
2.0797 0.0000 3.5923
0.0000 2.0797 3.5923
0.0000 0.0000 5.7647
0.0000 0.0000 8.6045

---

LaYIrAu, relaxed, DFT PBE-GGA; DFT total energy = -6.6072 eV per atom; SG = F-43m
1.0
0.0000 3.6053 3.6053
3.6053 0.0000 3.6053
3.6053 3.6053 0.0000
La Y Ir Au
1 1 1 1
Cartesian
0.0000 0.0000 0.0000
3.6053 3.6053 3.6053
1.8026 1.8026 1.8026
5.4079 5.4079 5.4079

---

Pr8Ga2Os, relaxed, DFT PBE-GGA; SG = Immm; energy above the lowest structure with this stoichiometry = 41 meV/atom
1.0
-2.7188 3.5465 8.3782
2.7188 -3.5465 8.3782
2.7188 3.5465 -8.3782
Pr Ga Os
8 2 1
Cartesian
2.7188 1.8788 -2.1643
0.0000 0.0000 3.3508
0.0000 1.7549 0.0000
2.7188 1.8788 2.1643
0.0000 1.6677 6.2139
0.0000 5.3382 0.0000
0.0000 0.0000 13.4056
0.0000 1.6677 10.5425
2.7188 0.0000 5.2723
0.0000 3.5465 3.1060
2.7188 0.0000 0.0000

---

Sn5S4Cl2, relaxed, DFT PBE-GGA; SG = P-1; energy above the lowest structure with this stoichiometry = 39 meV/atom; energy relative to the elements, uncorrected = -49.98 kJ per mole of atoms
1.0
7.3975 0.0000 0.0000
3.6469 8.5632 0.0000
3.4814 3.2830 9.7805
Sn S Cl
10 8 4
Cartesian
2.5447 3.2693 2.4407
5.0535 5.0335 5.6411
5.6809 4.4164 9.2905
6.1908 7.5756 2.9952
8.2517 9.2310 7.4500
6.2741 2.6153 2.3305
8.3350 4.2707 6.7853
8.8449 7.4299 0.4900
9.4724 6.8127 4.1394
11.9811 8.5770 7.3397
0.9963 0.9507 1.9493
4.3264 5.7099 3.1840
6.3054 7.3734 5.6908
9.8316 10.4596 9.3664
4.6943 1.3867 0.4141
8.2205 4.4729 4.0896
10.1995 6.1364 6.5965
13.5296 10.8956 7.8312
7.0485 7.8377 9.2252
3.6876 1.9708 4.3829
10.8382 9.8755 5.3976
7.4774 4.0085 0.5553

---

SrLaB, relaxed, DFT PBE-GGA; SG = Pm; energy above the lowest structure with this stoichiometry = 49 meV/atom
1.0
3.3899 0.0000 0.0000
0.0000 5.2731 0.0000
-1.6861 0.0000 10.2247
Sr La B
2 2 2
Cartesian
0.0000 0.0000 0.0000
0.0042 2.6365 7.5782
0.0035 0.0000 5.0242
1.6991 2.6365 2.4486
0.0040 2.6365 4.6245
1.6989 2.6365 5.0817

---

CaAcNd3, relaxed, DFT PBE-GGA; DFT total energy = -3.9222 eV per atom; SG = C2/m
1.0
9.3667 -1.8717 0.0000
9.3667 1.8717 0.0000
-1.7365 0.0000 11.1023
Ca Ac Nd
2 2 6
Cartesian
4.2322 0.0000 1.4599
12.7648 0.0000 9.6425
6.9131 0.0000 4.3193
10.0838 0.0000 6.7830
0.6353 0.0000 2.7752
4.3016 0.0000 6.8514
7.7891 0.0000 0.4988
9.2079 0.0000 10.6035
12.6954 0.0000 4.2509
16.3616 0.0000 8.3271

---

Sm2Si4AgPt3, relaxed, DFT PBE-GGA; SG = P-4m2; energy relative to the elements, uncorrected = -91.79 kJ per mole of atoms
1.0
4.2586 0.0000 0.0000
0.0000 4.2586 0.0000
0.0000 0.0000 9.9698
Sm Si Ag Pt
2 4 1 3
Cartesian
0.0000 2.1293 2.4400
2.1293 0.0000 7.5298
0.0000 0.0000 0.0000
0.0000 2.1293 6.3830
2.1293 0.0000 3.5868
2.1293 2.1293 0.0000
0.0000 0.0000 4.9849
0.0000 2.1293 8.7904
2.1293 0.0000 1.1794
2.1293 2.1293 4.9849

---

CrHg3, relaxed, DFT PBE-GGA; DFT total energy = -2.2414 eV per atom; SG = Pm-3n
1.0
5.6429 0.0000 0.0000
0.0000 5.6429 0.0000
0.0000 0.0000 5.6429
Cr Hg
2 6
Cartesian
0.0000 0.0000 0.0000
2.8214 2.8214 2.8214
0.0000 1.4107 2.8214
0.0000 4.2321 2.8214
1.4107 2.8214 0.0000
2.8214 0.0000 1.4107
2.8214 0.0000 4.2321
4.2321 2.8214 0.0000

---

TcBr, relaxed, DFT PBE-GGA; SG = R3m; energy above the lowest structure with this stoichiometry = 824 meV/atom; energy relative to the elements, uncorrected = 83.67 kJ per mole of atoms
1.0
1.5676 0.9051 4.2807
-1.5676 0.9051 4.2807
0.0000 -1.8101 4.2807
Tc Br
1 1
Cartesian
0.0000 0.0000 0.0000
0.0000 0.0000 10.4171

---

Nd2In, relaxed, DFT PBE-GGA; DFT total energy = -4.4325 eV per atom; SG = P6_3/mmc
1.0
5.5687 0.0000 0.0000
-2.7843 4.8226 0.0000
0.0000 0.0000 6.9394
Nd In
4 2
Cartesian
0.0000 0.0000 0.0000
0.0000 0.0000 3.4697
0.0000 3.2151 1.7349
2.7843 1.6075 5.2046
0.0000 3.2151 5.2046
2.7843 1.6075 1.7349

---

BeWSe, relaxed, DFT PBE-GGA; SG = Fmm2; energy above the lowest structure with this stoichiometry = 446 meV/atom; energy relative to the elements, uncorrected = 62.80 kJ per mole of atoms
1.0
0.0000 2.3398 5.9809
1.6313 0.0000 5.9809
1.6313 2.3398 0.0000
Be W Se
1 1 1
Cartesian
0.0000 0.0000 0.0000
1.6313 2.3398 4.2039
1.6313 2.3398 8.0750